No. 1
An optimized crystal structure of LaTb4Y4, computed with PBE-GGA.

The calculation puts the formation energy from the elements at 21 kJ/mol of formula units. Its density is 6.38 g cm⁻³.

The structure belongs to space group I4/mmm (No. 139); the cell edges are 10.765, 10.765 and 5.073 Å and the angles 90.00°, 90.00° and 90.00°. Symmetry generates all atoms from La at (0.000, 0.000, 0.000), Tb at (0.000, 0.336, 0.000) and Y at (0.168, 0.168, 0.500).


No. 2
An optimized crystal structure of AcAl2Pd3, computed with PBE-GGA.

The calculation puts the formation energy from the elements at -509 kJ/mol of formula units. Its density is 8.35 g cm⁻³.

The structure belongs to space group Cmcm (No. 63); the cell edges are 10.465, 8.326 and 5.478 Å and the angles 90.00°, 90.00° and 90.00°. Symmetry generates all atoms from Ac at (0.000, 0.184, 0.250), Al at (0.209, 0.500, 0.000), Pd at (0.000, 0.449, 0.750) and Pd at (0.186, 0.216, 0.750).


No. 3
An optimized crystal structure of BeCdCo2, computed with PBE-GGA.

The calculation puts the formation energy from the elements at 42 kJ/mol of formula units. Its density is 7.99 g cm⁻³.

The structure belongs to space group P4mm (No. 99); the cell edges are 2.804, 2.804 and 6.321 Å and the angles 90.00°, 90.00° and 90.00°. Symmetry generates all atoms from Be at (0.000, 0.000, 0.000), Cd at (0.500, 0.500, 0.302), Co at (0.000, 0.000, 0.614) and Co at (0.500, 0.500, 0.834).


No. 4
An optimized crystal structure of HfZnCoCu, computed with PBE-GGA.

The calculation puts the formation energy from the elements at -71 kJ/mol of formula units. Its density is 10.66 g cm⁻³.

The structure belongs to space group F-43m (No. 216); the cell edges are 6.111, 6.111 and 6.111 Å and the angles 90.00°, 90.00° and 90.00°. Symmetry generates all atoms from Hf at (0.000, 0.000, 0.000), Zn at (0.000, 0.000, 0.500), Co at (0.250, 0.250, 0.250) and Cu at (0.250, 0.250, 0.750).


No. 5
An optimized crystal structure of Ga2BiS4, computed with PBE-GGA.

The calculation puts the formation energy from raw total energies at -0.4937 eV/atom. Its density is 4.34 g cm⁻³.

The structure belongs to space group I4/m (No. 87); the cell edges are 7.704, 7.704 and 6.149 Å and the angles 90.00°, 90.00° and 90.00°. Symmetry generates all atoms from Ga at (0.000, 0.500, 0.250), Bi at (0.000, 0.000, 0.000) and S at (0.155, 0.663, 0.000).


No. 6
An optimized crystal structure of GdB2W, computed with PBE-GGA.

The calculation puts the formation energy from the elements at 255 kJ/mol of formula units. Its density is 11.14 g cm⁻³.

The structure belongs to space group Fm-3m (No. 225); the cell edges are 6.002, 6.002 and 6.002 Å and the angles 90.00°, 90.00° and 90.00°. Symmetry generates all atoms from Gd at (0.000, 0.000, 0.000), B at (0.250, 0.250, 0.250) and W at (0.000, 0.000, 0.500).


No. 7
An optimized crystal structure of KIrPdO2, computed with PBE-GGA.

The calculation puts the formation energy from raw total energies at -0.2346 eV/atom. Its density is 7.55 g cm⁻³.

The structure belongs to space group P4/mmm (No. 123); the cell edges are 3.918, 3.918 and 5.298 Å and the angles 90.00°, 90.00° and 90.00°. Symmetry generates all atoms from K at (0.000, 0.000, 0.000), Ir at (0.500, 0.500, 0.500), Pd at (0.500, 0.500, 0.000) and O at (0.000, 0.500, 0.500).


No. 8
An optimized crystal structure of LiCdHgF2, computed with PBE-GGA.

The calculation puts the formation energy from raw total energies at -1.1437 eV/atom. Its density is 5.21 g cm⁻³.

The structure belongs to space group P4/mmm (No. 123); the cell edges are 4.348, 4.348 and 6.031 Å and the angles 90.00°, 90.00° and 90.00°. Symmetry generates all atoms from Li at (0.000, 0.000, 0.000), Cd at (0.500, 0.500, 0.500), Hg at (0.500, 0.500, 0.000) and F at (0.000, 0.500, 0.500).


No. 9
An optimized crystal structure of ReNi2H, computed with PBE-GGA.

For the total DFT energy (no corrections), the calculation gives -0.479 Ry per atom. Its density is 12.56 g cm⁻³.

The structure belongs to space group I-42d (No. 122); the cell edges are 4.994, 4.994 and 6.459 Å and the angles 90.00°, 90.00° and 90.00°. Symmetry generates all atoms from Re at (0.000, 0.000, 0.000), Ni at (0.082, 0.250, 0.625) and H at (0.000, 0.000, 0.500).


No. 10
An optimized crystal structure of ErPaP, computed with PBE-GGA.

The calculation puts the formation energy from the elements at -162 kJ/mol of formula units. Its density is 10.25 g cm⁻³.

The structure belongs to space group Cmcm (No. 63); the cell edges are 3.418, 23.796 and 3.419 Å and the angles 90.00°, 90.00° and 90.00°. Symmetry generates all atoms from Er at (0.000, 0.192, 0.250), Pa at (0.000, 0.057, 0.250) and P at (0.000, 0.377, 0.250).


No. 11
An optimized crystal structure of La2SmDyIn2, computed with PBE-GGA.

The calculation puts the formation energy from the elements at -207 kJ/mol of formula units. Its density is 7.35 g cm⁻³.

The structure belongs to space group Pmc2_1 (No. 26); the cell edges are 5.214, 10.305 and 6.900 Å and the angles 90.00°, 90.00° and 90.00°. Symmetry generates all atoms from La at (0.000, 0.057, 0.000), La at (0.500, 0.179, 0.228), Sm at (0.500, 0.459, 0.874), Dy at (0.000, 0.311, 0.597), In at (0.000, 0.382, 0.136) and In at (0.500, 0.149, 0.714).


No. 12
An optimized crystal structure of Zr2FeCl, computed with PBE-GGA.

The calculation puts the formation energy from raw total energies at -0.3957 eV/atom. Its density is 6.20 g cm⁻³.

The structure belongs to space group P4/mmm (No. 123); the cell edges are 3.101, 3.101 and 7.619 Å and the angles 90.00°, 90.00° and 90.00°. Symmetry generates all atoms from Zr at (0.000, 0.000, 0.210), Fe at (0.500, 0.500, 0.000) and Cl at (0.500, 0.500, 0.500).